# PBE Ce3Sc2Pb3, relaxed
# Density of states at the Fermi level: 2.897 states/eV/atom
# Energy relative to the elements: -356 meV/atom
# Magnetization: 4.3 μB per formula unit
data_Ce3Sc2Pb3
_cell_length_a 9.0996
_cell_length_b 9.0996
_cell_length_c 6.3820
_cell_angle_alpha 90.00
_cell_angle_beta 90.00
_cell_angle_gamma 120.00
_symmetry_space_group_name_H-M 'P 63/m c m'
_symmetry_Int_Tables_number 193
_symmetry_space_group_name_Hall '-P 6c 2'
loop_
_atom_site_label
_atom_site_type_symbol
_atom_site_fract_x
_atom_site_fract_y
_atom_site_fract_z
Ce1 Ce 0.0000 0.2361 0.2500
Sc1 Sc 0.3333 0.6667 0.0000
Pb1 Pb 0.0000 0.4047 0.7500